[1]
Crystalline P3SeN at its relaxed geometry, computed with GGA-PBE.

Computed properties:
* energy: -5.500 eV per atom
* energy relative to the elements, uncorrected: 0.11 eV per atom
* crystal system: triclinic
* excess energy over the best structure of this formula in the dataset: 8 meV per atom
* volume: 25.15 Å³/atom

Geometry as CIF:
```
data_P3SeN
_chemical_formula_sum 'P3 Se1 N1'
_cell_length_a 4.680
_cell_length_b 4.961
_cell_length_c 6.047
_cell_angle_alpha 109.65
_cell_angle_beta 105.85
_cell_angle_gamma 92.56
_space_group_name_H-M_alt 'P 1'
_space_group_IT_number 1
_space_group_name_Hall 'P 1'
loop_
_atom_site_label
_atom_site_fract_x
_atom_site_fract_y
_atom_site_fract_z
_atom_site_occupancy
P1 0.000 0.000 0.000 1
P2 0.214 0.706 0.728 1
P3 0.675 0.119 0.686 1
Se1 0.681 0.668 0.031 1
N1 0.363 0.947 0.649 1
```



[2]
Crystalline P3SeN at its relaxed geometry, computed with GGA-PBE.

Computed properties:
* energy: -5.474 eV per atom
* energy relative to the elements, uncorrected: 0.13 eV per atom
* crystal system: monoclinic
* excess energy over the best structure of this formula in the dataset: 34 meV per atom
* volume: 25.60 Å³/atom

Geometry as CIF:
```
data_P3SeN
_chemical_formula_sum 'P3 Se1 N1'
_cell_length_a 5.715
_cell_length_b 3.430
_cell_length_c 7.000
_cell_angle_alpha 90.00
_cell_angle_beta 111.10
_cell_angle_gamma 90.00
_space_group_name_H-M_alt 'P 1 m 1'
_space_group_IT_number 6
_space_group_name_Hall 'P -2y'
loop_
_atom_site_label
_atom_site_fract_x
_atom_site_fract_y
_atom_site_fract_z
_atom_site_occupancy
P1 0.000 0.000 0.000 1
P2 0.038 0.500 0.578 1
P3 0.243 0.000 0.480 1
Se1 0.289 0.500 0.920 1
N1 0.057 0.000 0.234 1
```



[3]
Crystalline PSe2N at its relaxed geometry, computed with GGA-PBE.

Computed properties:
* energy: -3.907 eV per atom
* energy relative to the elements, uncorrected: 1.27 eV per atom
* crystal system: trigonal
* excess energy over the best structure of this formula in the dataset: 380 meV per atom
* volume: 16.80 Å³/atom

Geometry as CIF:
```
data_PSe2N
_chemical_formula_sum 'P3 Se6 N3'
_cell_length_a 3.1232
_cell_length_b 3.1232
_cell_length_c 23.8616
_cell_angle_alpha 90.00
_cell_angle_beta 90.00
_cell_angle_gamma 120.00
_space_group_name_H-M_alt 'R -3 m'
_space_group_IT_number 166
_space_group_name_Hall '-R 3 2"'
loop_
_atom_site_label
_atom_site_fract_x
_atom_site_fract_y
_atom_site_fract_z
_atom_site_occupancy
P1 0.0000 0.0000 0.0000 1
Se1 0.0000 0.0000 0.1044 1
N1 0.0000 0.0000 0.5000 1
```